1.
Computed, not measured: crystalline TiVFeSi at its relaxed geometry at the GGA-PBE level of DFT.

Structure (POSCAR):
```
TiVFeSi
1.0
0.0000 2.9498 2.9498
2.9498 0.0000 2.9498
2.9498 2.9498 0.0000
Ti V Fe Si
1 1 1 1
direct
0.0000 0.0000 0.0000 Ti
0.2500 0.2500 0.2500 V
0.7500 0.7500 0.7500 Fe
0.5000 0.5000 0.5000 Si
```

Output
V, A^3/atom: 12.83
Crystal system: cubic
N(E_F), states/eV/atom: 0.12
Density, g/cm3: 5.91
SG: F-43m
Total magnetization, μB/cell: 3.0
Formation energy (no corrections), meV per atom: -427

---

2.
Computed, not measured: crystalline ZrTiFe2Si at its relaxed geometry at the GGA-PBE level of DFT.

Structure (POSCAR):
```
ZrTiFe2Si
1.0
4.1958 0.0000 0.0000
0.0000 4.1958 0.0000
0.0000 0.0000 4.5578
Zr Ti Fe Si
1 1 2 1
direct
0.0000 0.0000 0.0000 Zr
0.5000 0.5000 0.0000 Ti
0.0000 0.5000 0.5000 Fe
0.5000 0.0000 0.5000 Fe
0.5000 0.5000 0.5000 Si
```

Output
V, A^3/atom: 16.05
Crystal system: tetragonal
N(E_F), states/eV/atom: 1.60
Density, g/cm3: 5.77
SG: P4/mmm
Total magnetization, μB/cell: 0.0
Formation energy (no corrections), meV per atom: 312

---

3.
Computed, not measured: crystalline TlFe2Si at its relaxed geometry at the GGA-PBE level of DFT.

Structure (POSCAR):
```
TlFe2Si
1.0
1.4844 0.8570 7.7634
-1.4844 0.8570 7.7634
0.0000 -1.7141 7.7634
Tl Fe Si
1 2 1
direct
0.0000 0.0000 0.0000 Tl
0.2377 0.2377 0.2377 Fe
0.7623 0.7623 0.7623 Fe
0.5000 0.5000 0.5000 Si
```

Output
V, A^3/atom: 14.81
Crystal system: trigonal
N(E_F), states/eV/atom: 0.93
ΔE to the lowest computed polymorph, eV per atom: 0.203
Density, g/cm3: 9.64
SG: R-3m
Total magnetization, μB/cell: 2.8
Formation energy (no corrections), meV per atom: 397

---

4.
Computed, not measured: crystalline TlFe2Si at its relaxed geometry at the GGA-PBE level of DFT.

Structure (POSCAR):
```
TlFe2Si
1.0
2.9570 0.0000 0.0000
0.0000 2.9570 0.0000
0.0000 0.0000 6.6995
Tl Fe Si
1 2 1
direct
0.0000 0.0000 0.0000 Tl
0.5000 0.5000 0.3188 Fe
0.5000 0.5000 0.6812 Fe
0.0000 0.0000 0.5000 Si
```

Output
V, A^3/atom: 14.64
Crystal system: tetragonal
N(E_F), states/eV/atom: 0.92
ΔE to the lowest computed polymorph, eV per atom: 0.003
Density, g/cm3: 9.76
SG: P4/mmm
Total magnetization, μB/cell: 3.4
Formation energy (no corrections), meV per atom: 197

---

5.
Computed, not measured: crystalline TlFe2Si at its relaxed geometry at the GGA-PBE level of DFT.

Structure (POSCAR):
```
TlFe2Si
1.0
3.8568 -1.4502 0.0000
3.8568 1.4502 0.0000
-2.5276 0.0000 6.1879
Tl Fe Si
1 2 1
direct
0.0000 0.0000 0.0000 Tl
0.2625 0.2625 0.6467 Fe
0.7375 0.7375 0.3533 Fe
0.5000 0.5000 0.5000 Si
```

Output
V, A^3/atom: 17.31
Crystal system: monoclinic
N(E_F), states/eV/atom: 0.69
ΔE to the lowest computed polymorph, eV per atom: 0.098
Density, g/cm3: 8.26
SG: C2/m
Total magnetization, μB/cell: 3.8
Formation energy (no corrections), meV per atom: 292

---

6.
Computed, not measured: crystalline TlFe2Si at its relaxed geometry at the GGA-PBE level of DFT.

Structure (POSCAR):
```
TlFe2Si
1.0
3.0750 0.0000 0.0000
0.0000 3.0750 0.0000
0.0000 0.0000 6.6511
Tl Fe Si
1 2 1
direct
0.0000 0.0000 0.0000 Tl
0.0000 0.0000 0.4903 Fe
0.5000 0.5000 0.2840 Fe
0.5000 0.5000 0.6431 Si
```

Output
V, A^3/atom: 15.72
Crystal system: tetragonal
N(E_F), states/eV/atom: 0.53
ΔE to the lowest computed polymorph, eV per atom: 0.074
Density, g/cm3: 9.09
SG: P4mm
Total magnetization, μB/cell: 4.3
Formation energy (no corrections), meV per atom: 268